# 1
Entry from Alexandria: a relaxed structure of SiIrOs2 (PBE-GGA).

Cell: 2.829 2.829 6.887 Å, 90.00 90.00 90.00°
Space group P4mm (No. 99)
Asymmetric unit:
Si  0.000  0.000  0.000 x1
Ir  0.500  0.500  0.211 x1
Os  0.000  0.000  0.510 x1
Os  0.500  0.500  0.771 x1

Output
Its crystal system is tetragonal. Its uncorrected formation energy is -0.102 eV/atom. The density of states at the Fermi level comes out at 0.859 states/eV/atom. For the theoretical density, the calculation gives 18105 kg/m³.



# 2
Entry from Alexandria: a relaxed structure of AsAu2C (PBE-GGA).

Cell: 6.330 6.330 6.330 Å, 90.00 90.00 90.00°
Space group Fm-3m (No. 225)
Asymmetric unit:
As  0.000  0.000  0.000 x4
Au  0.250  0.250  0.250 x8
C  0.000  0.000  0.500 x4

Output
The energy above the most stable polymorph in this dataset comes out at 0.4146 eV per atom. Its crystal system is cubic. As for the formation enthalpy at 0 K: 1.387 eV/atom. The density of states at the Fermi level comes out at 0.392 states/eV/atom. For the theoretical density, the calculation gives 12592 kg/m³.



# 3
Entry from Alexandria: a relaxed structure of Sm2Ho3Sc2 (PBE-GGA).

Cell: 5.197 23.355 3.456 Å, 90.00 90.00 90.00°
Space group Cmmm (No. 65)
Asymmetric unit:
Sm  0.000  0.076  0.000 x4
Ho  0.000  0.343  0.500 x4
Ho  0.000  0.500  0.500 x2
Sc  0.000  0.217  0.000 x4

Output
The energy above the most stable polymorph in this dataset comes out at 0.0000 eV per atom. Its crystal system is orthorhombic. As for the formation enthalpy at 0 K: 0.034 eV/atom. The density of states at the Fermi level comes out at 1.569 states/eV/atom. For the theoretical density, the calculation gives 7011 kg/m³.